1.
# Na2In6Hg

Na2In6Hg after structural relaxation (PBE, the Alexandria database).

Output
As for the symmetry: No. 12.

POSCAR file:
```
Na2In6Hg
1.0
8.1830 -3.1050 0.0000
8.1830 3.1050 0.0000
-1.7053 0.0000 5.0104
Na In Hg
2 6 1
Direct
0.1061 0.1061 0.1063
0.8939 0.8939 0.8937
0.0534 0.5466 0.2997
0.2466 0.7534 0.5000
0.4534 0.9466 0.7003
0.5466 0.0534 0.2997
0.7534 0.2466 0.5000
0.9466 0.4534 0.7003
0.5000 0.5000 0.0000
```

---

2.
# Na3In4Hg8

Na3In4Hg8 after structural relaxation (PBE, the Alexandria database).

Output
As for the symmetry: No. 221.

POSCAR file:
```
Na3In4Hg8
1.0
7.3135 0.0000 0.0000
0.0000 7.3135 0.0000
0.0000 0.0000 7.3135
Na In Hg
3 4 8
Direct
0.0000 0.0000 0.5000
0.0000 0.5000 0.0000
0.5000 0.0000 0.0000
0.0000 0.0000 0.0000
0.0000 0.5000 0.5000
0.5000 0.0000 0.5000
0.5000 0.5000 0.0000
0.2610 0.2610 0.2610
0.2610 0.2610 0.7390
0.2610 0.7390 0.2610
0.2610 0.7390 0.7390
0.7390 0.2610 0.2610
0.7390 0.2610 0.7390
0.7390 0.7390 0.2610
0.7390 0.7390 0.7390
```

---

3.
# NaIn6Hg

NaIn6Hg after structural relaxation (PBE, the Alexandria database).

Output
As for the symmetry: No. 38.

POSCAR file:
```
NaIn6Hg
1.0
5.1386 0.0000 0.0000
0.0000 3.4674 6.0002
0.0000 -3.4674 6.0002
Na In Hg
1 6 1
Direct
0.0000 0.0000 0.0000
0.0000 0.5024 0.9959
0.0000 0.5035 0.5035
0.0000 0.9959 0.5024
0.5000 0.1673 0.1673
0.5000 0.1685 0.6654
0.5000 0.6654 0.1685
0.5000 0.6679 0.6679
```

---

4.
# Na2In3Hg5

Na2In3Hg5 after structural relaxation (PBE, the Alexandria database).

Output
As for the symmetry: No. 12.

POSCAR file:
```
Na2In3Hg5
1.0
5.3146 -2.3249 0.0000
5.3146 2.3249 0.0000
-4.9437 0.0000 11.0682
Na In Hg
2 3 5
Direct
0.1730 0.1730 0.2204
0.8270 0.8270 0.7796
0.1825 0.1825 0.9069
0.5000 0.5000 0.5000
0.8175 0.8175 0.0931
0.2027 0.2027 0.5748
0.4838 0.4838 0.2509
0.5000 0.5000 0.0000
0.5162 0.5162 0.7491
0.7973 0.7973 0.4252
```

---

5.
# Na2In4Hg9

Na2In4Hg9 after structural relaxation (PBE, the Alexandria database).

Output
As for the symmetry: No. 12.

POSCAR file:
```
Na2In4Hg9
1.0
4.4066 -2.5277 0.0000
4.4066 2.5277 0.0000
-0.0341 0.0000 18.4119
Na In Hg
2 4 9
Direct
0.1674 0.1674 0.2617
0.8326 0.8326 0.7383
0.1674 0.1674 0.8749
0.1677 0.1677 0.6145
0.8323 0.8323 0.3855
0.8326 0.8326 0.1251
0.1670 0.1670 0.0659
0.1675 0.1675 0.4510
0.5000 0.5000 0.0000
0.4996 0.4996 0.1813
0.5000 0.5000 0.3464
0.5000 0.5000 0.6536
0.5004 0.5004 0.8187
0.8325 0.8325 0.5490
0.8330 0.8330 0.9341
```

---

6.
# Na3InHg2

Na3InHg2 after structural relaxation (PBE, the Alexandria database).

Output
As for the symmetry: No. 15.

POSCAR file:
```
Na3InHg2
1.0
4.7691 -5.7254 0.0000
4.7691 5.7254 0.0000
-0.5285 0.0000 6.2639
Na In Hg
6 2 4
Direct
0.2350 0.7650 0.7500
0.2896 0.3203 0.5230
0.3203 0.2896 0.0230
0.6797 0.7104 0.9770
0.7104 0.6797 0.4770
0.7650 0.2350 0.2500
0.0391 0.9609 0.2500
0.9609 0.0391 0.7500
0.0874 0.5651 0.2300
0.4349 0.9126 0.2700
0.5651 0.0874 0.7300
0.9126 0.4349 0.7700
```

---

7.
# Na8In2Hg

Na8In2Hg after structural relaxation (PBE, the Alexandria database).

Output
As for the symmetry: No. 12.

POSCAR file:
```
Na8In2Hg
1.0
9.0332 -2.4127 0.0000
9.0332 2.4127 0.0000
-1.4894 0.0000 7.3480
Na In Hg
8 2 1
Direct
0.0471 0.0471 0.2479
0.1377 0.1377 0.6895
0.3178 0.3178 0.5943
0.4049 0.4049 0.0512
0.5951 0.5951 0.9488
0.6822 0.6822 0.4057
0.8623 0.8623 0.3105
0.9529 0.9529 0.7521
0.2287 0.2287 0.1233
0.7713 0.7713 0.8767
0.5000 0.5000 0.5000
```

---

8.
# Na3In5Hg2

Na3In5Hg2 after structural relaxation (PBE, the Alexandria database).

Output
As for the symmetry: No. 72.

POSCAR file:
```
Na3In5Hg2
1.0
-6.5101 6.7047 3.3627
6.5101 -6.7047 3.3627
6.5101 6.7047 -3.3627
Na In Hg
6 10 4
Direct
0.2449 0.6210 0.8658
0.2500 0.2500 0.0000
0.2551 0.1210 0.3761
0.7449 0.8790 0.6239
0.7500 0.7500 0.0000
0.7551 0.3790 0.1342
0.1420 0.3714 0.5134
0.2500 0.0049 0.7549
0.2500 0.4951 0.2451
0.2500 0.7500 0.5000
0.3580 0.8714 0.2293
0.6420 0.1286 0.7707
0.7500 0.2500 0.5000
0.7500 0.5049 0.7549
0.7500 0.9951 0.2451
0.8580 0.6286 0.4866
0.1481 0.8668 0.0149
0.3519 0.3668 0.7187
0.6481 0.6332 0.2813
0.8519 0.1332 0.9851
```

---

9.
# Na3InHg4

Na3InHg4 after structural relaxation (PBE, the Alexandria database).

Output
As for the symmetry: No. 12.

POSCAR file:
```
Na3InHg4
1.0
7.7748 -2.6431 0.0000
7.7748 2.6431 0.0000
-1.7768 0.0000 4.9781
Na In Hg
3 1 4
Direct
0.0000 0.0000 0.0000
0.2531 0.2531 0.2532
0.7469 0.7469 0.7468
0.5000 0.5000 0.5000
0.1247 0.1247 0.6238
0.3752 0.3752 0.8758
0.6248 0.6248 0.1242
0.8753 0.8753 0.3762
```

---

10.
# Na2In3Hg4

Na2In3Hg4 after structural relaxation (PBE, the Alexandria database).

Output
As for the symmetry: No. 64.

POSCAR file:
```
Na2In3Hg4
1.0
3.1722 -8.1328 0.0000
3.1722 8.1328 0.0000
0.0000 0.0000 9.6204
Na In Hg
4 6 8
Direct
0.1140 0.8860 0.9378
0.3860 0.6140 0.4378
0.6140 0.3860 0.5622
0.8860 0.1140 0.0622
0.0000 0.0000 0.5000
0.0334 0.4666 0.7500
0.4666 0.0334 0.2500
0.5000 0.5000 0.0000
0.5334 0.9666 0.7500
0.9666 0.5334 0.2500
0.1841 0.8159 0.5333
0.2176 0.2824 0.7500
0.2824 0.2176 0.2500
0.3159 0.6841 0.0333
0.6841 0.3159 0.9667
0.7176 0.7824 0.7500
0.7824 0.7176 0.2500
0.8159 0.1841 0.4667
```

---

11.
# Na4In3Hg16

Na4In3Hg16 after structural relaxation (PBE, the Alexandria database).

Output
As for the symmetry: No. 123.

POSCAR file:
```
Na4In3Hg16
1.0
7.1976 0.0000 0.0000
0.0000 7.1976 0.0000
0.0000 0.0000 12.2406
Na In Hg
4 3 16
Direct
0.0000 0.5000 0.1806
0.0000 0.5000 0.8194
0.5000 0.0000 0.1806
0.5000 0.0000 0.8194
0.0000 0.0000 0.0000
0.0000 0.5000 0.5000
0.5000 0.0000 0.5000
0.0000 0.0000 0.2411
0.0000 0.0000 0.7589
0.2635 0.2635 0.3572
0.2635 0.2635 0.6428
0.2635 0.7365 0.3572
0.2635 0.7365 0.6428
0.2856 0.2856 0.0000
0.2856 0.7144 0.0000
0.5000 0.5000 0.1939
0.5000 0.5000 0.8061
0.7144 0.2856 0.0000
0.7144 0.7144 0.0000
0.7365 0.2635 0.3572
0.7365 0.2635 0.6428
0.7365 0.7365 0.3572
0.7365 0.7365 0.6428
```

---

12.
# Na4In2Hg5

Na4In2Hg5 after structural relaxation (PBE, the Alexandria database).

Output
As for the symmetry: No. 10.

POSCAR file:
```
Na4In2Hg5
1.0
8.6329 0.0000 0.0000
0.0000 3.4093 0.0000
-1.1309 0.0000 10.1153
Na In Hg
4 2 5
Direct
0.2197 0.0000 0.3387
0.2681 0.0000 0.8649
0.7319 0.0000 0.1351
0.7803 0.0000 0.6613
0.4252 0.5000 0.6211
0.5748 0.5000 0.3789
0.0000 0.5000 0.0000
0.0830 0.5000 0.6359
0.3831 0.5000 0.1149
0.6169 0.5000 0.8851
0.9170 0.5000 0.3641
```

---

How do the records compare in E_tot? In the order shown, they have -2.1904, -1.3004, -2.2737, -1.3281, -1.1703, -1.3403, -1.5812, -1.9099, -1.2001, -1.4555, -0.9014, -1.2891 eV per atom.
How do the records compare in ΔH_f (0 K)? In the order shown, they have -0.34, -2.18, -0.14, -0.92, -1.25, -0.74, -1.06, -0.85, -1.70, -1.04, -2.41, -1.92 eV/f.u..